No. 1
VASP calculation (PBE) on Li5AcRh2 after structural relaxation. Values from VASP.

Structure (Quantum ESPRESSO input):
```
&SYSTEM
  ibrav = 0, nat = 8, ntyp = 3
/
ATOMIC_SPECIES
Li 6.94 Li.upf
Ac 227.00 Ac.upf
Rh 102.91 Rh.upf
CELL_PARAMETERS angstrom
4.004 0.000 0.000
2.002 6.189 -0.509
2.002 1.376 6.055
ATOMIC_POSITIONS crystal
Li 0.000 0.500 0.500
Li 0.671 0.507 0.151
Li 0.329 0.493 0.849
Li 0.329 0.849 0.493
Li 0.671 0.151 0.507
Ac 0.000 0.000 0.000
Rh 0.722 0.778 0.778
Rh 0.278 0.222 0.222
```

## Properties
- formation energy (eV per formula unit) = -1.650

---

No. 2
VASP calculation (PBE) on Cd2InF4 after structural relaxation. Values from VASP.

Structure (Quantum ESPRESSO input):
```
&SYSTEM
  ibrav = 0, nat = 7, ntyp = 3
/
ATOMIC_SPECIES
F 19.00 F.upf
Cd 112.41 Cd.upf
In 114.82 In.upf
CELL_PARAMETERS angstrom
4.152 0.000 0.000
0.000 4.152 0.000
2.076 2.076 9.435
ATOMIC_POSITIONS crystal
F 0.889 0.889 0.222
F 0.111 0.111 0.778
F 0.000 0.500 0.000
F 0.500 0.000 0.000
Cd 0.773 0.773 0.454
Cd 0.227 0.227 0.546
In 0.000 0.000 0.000
```

## Properties
- raw formation energy (kJ/mol of formula units) = -1222

---

No. 3
VASP calculation (PBE) on Tb7Dy12Tl after structural relaxation. Values from VASP.

Structure (Quantum ESPRESSO input):
```
&SYSTEM
  ibrav = 0, nat = 20, ntyp = 3
/
ATOMIC_SPECIES
Tb 158.93 Tb.upf
Dy 162.50 Dy.upf
Tl 204.38 Tl.upf
CELL_PARAMETERS angstrom
8.365 1.194 1.793
-1.179 8.367 1.793
-1.179 -1.568 8.412
ATOMIC_POSITIONS crystal
Tb 0.853 0.608 0.927
Tb 0.392 0.073 0.147
Tb 0.073 0.147 0.392
Tb 0.500 0.500 0.500
Tb 0.927 0.853 0.608
Tb 0.608 0.927 0.853
Tb 0.147 0.392 0.073
Dy 0.864 0.251 0.742
Dy 0.749 0.258 0.136
Dy 0.614 0.140 0.501
Dy 0.860 0.499 0.386
Dy 0.258 0.136 0.749
Dy 0.499 0.386 0.860
Dy 0.501 0.614 0.140
Dy 0.742 0.864 0.251
Dy 0.140 0.501 0.614
Dy 0.386 0.860 0.499
Dy 0.251 0.742 0.864
Dy 0.136 0.749 0.258
Tl 0.000 0.000 0.000
```

## Properties
- formation energy (eV per formula unit) = 3.491

---

No. 4
VASP calculation (PBE) on Y2LuCd after structural relaxation. Values from VASP.

Structure (Quantum ESPRESSO input):
```
&SYSTEM
  ibrav = 0, nat = 4, ntyp = 3
/
ATOMIC_SPECIES
Y 88.91 Y.upf
Lu 174.97 Lu.upf
Cd 112.41 Cd.upf
CELL_PARAMETERS angstrom
-2.187 -4.853 1.062
2.998 -3.875 2.337
-0.985 -1.468 5.132
ATOMIC_POSITIONS crystal
Y 0.250 0.250 0.250
Y 0.750 0.750 0.750
Lu 0.000 0.000 0.000
Cd 0.500 0.500 0.500
```

## Properties
- offset from the most stable computed form (meV/atom) = 103.8
- formation energy (eV per formula unit) = -0.169

---

No. 5
VASP calculation (PBE) on LaAsW2 after structural relaxation. Values from VASP.

Structure (Quantum ESPRESSO input):
```
&SYSTEM
  ibrav = 0, nat = 8, ntyp = 3
/
ATOMIC_SPECIES
As 74.92 As.upf
W 183.84 W.upf
La 138.91 La.upf
CELL_PARAMETERS angstrom
7.873 0.000 0.000
0.000 7.873 0.000
3.936 3.936 2.801
ATOMIC_POSITIONS crystal
As 0.500 0.500 0.000
As 0.250 0.750 0.500
W 0.550 0.125 0.250
W 0.200 0.625 0.250
W 0.375 0.450 0.750
W 0.875 0.800 0.750
La 0.000 0.000 0.000
La 0.750 0.250 0.500
```

## Properties
- formation energy (eV per formula unit) = 2.831

---

No. 6
VASP calculation (PBE) on CaGdAgRh after structural relaxation. Values from VASP.

Structure (Quantum ESPRESSO input):
```
&SYSTEM
  ibrav = 0, nat = 4, ntyp = 4
/
ATOMIC_SPECIES
Ca 40.08 Ca.upf
Gd 157.25 Gd.upf
Rh 102.91 Rh.upf
Ag 107.87 Ag.upf
CELL_PARAMETERS angstrom
-4.128 2.011 2.034
-4.513 -1.009 -1.960
-3.235 -2.909 2.510
ATOMIC_POSITIONS crystal
Ca 0.000 0.000 0.000
Gd 0.500 0.500 0.500
Rh 0.250 0.250 0.250
Ag 0.750 0.750 0.750
```

## Properties
- formation energy (eV per formula unit) = -1.715

---

No. 7
VASP calculation (PBE) on PrTmPd6 after structural relaxation. Values from VASP.

Structure (Quantum ESPRESSO input):
```
&SYSTEM
  ibrav = 0, nat = 8, ntyp = 3
/
ATOMIC_SPECIES
Pr 140.91 Pr.upf
Tm 168.93 Tm.upf
Pd 106.42 Pd.upf
CELL_PARAMETERS angstrom
-1.702 -3.633 1.154
2.794 -0.330 3.084
-5.126 4.014 5.074
ATOMIC_POSITIONS crystal
Pr 0.000 0.000 0.000
Tm 0.000 0.000 0.500
Pd 0.500 0.500 0.000
Pd 0.500 0.500 0.500
Pd 0.500 0.000 0.260
Pd 0.500 0.000 0.740
Pd 0.000 0.500 0.260
Pd 0.000 0.500 0.740
```

## Properties
- formation energy (eV per formula unit) = -6.578

---

No. 8
VASP calculation (PBE) on NiTe2I after structural relaxation. Values from VASP.

Structure (Quantum ESPRESSO input):
```
&SYSTEM
  ibrav = 0, nat = 8, ntyp = 3
/
ATOMIC_SPECIES
I 126.90 I.upf
Ni 58.69 Ni.upf
Te 127.60 Te.upf
CELL_PARAMETERS angstrom
-2.342 -6.697 -2.440
7.472 -1.614 -2.958
7.570 -2.958 1.066
ATOMIC_POSITIONS crystal
I 0.750 0.323 0.823
I 0.250 0.677 0.177
Ni 0.750 0.928 0.428
Ni 0.250 0.072 0.572
Te 0.399 0.178 0.209
Te 0.101 0.709 0.678
Te 0.601 0.822 0.791
Te 0.899 0.291 0.322
```

## Properties
- raw formation energy (kJ/mol of formula units) = -14

---

What did we get for uncorrected energy? Answer: -30.030; -24.715; -86.512; -18.533; -32.652; -28.001; -46.986; -13.760 eV per formula unit, in the order shown.